Record 1
This record from Alexandria via LeMat-Bulk describes a relaxed structure of Pm4Dy5Sc. The functional is PBE.

## Properties
Calculated formation energy = 0.26 eV per atom
SG = C2/m, No. 12
Energy above the lowest structure with this stoichiometry = 0.038 eV per atom
VASP energy = -4.577 eV/atom

Cell lengths 9.251, 9.251, 8.621 Å; angles 115.25, 115.25, 30.96 degrees
Fractional coordinates of all 10 atoms:
1 Pm 0.030 0.030 0.284
2 Pm 0.323 0.323 0.573
3 Pm 0.677 0.677 0.427
4 Pm 0.970 0.970 0.716
5 Dy 0.163 0.163 0.710
6 Dy 0.173 0.173 0.120
7 Dy 0.500 0.500 0.000
8 Dy 0.827 0.827 0.880
9 Dy 0.837 0.837 0.290
10 Sc 0.500 0.500 0.500


Record 2
This record from Alexandria via LeMat-Bulk describes a relaxed structure of Pm4Dy11Sc9. The functional is PBE.

## Properties
Calculated formation energy = 0.08 eV per atom
SG = Cmmm, No. 65
VASP energy = -5.200 eV/atom

Cell lengths 14.974, 14.974, 3.507 Å; angles 90.00, 90.00, 116.01 degrees
Fractional coordinates of all 24 atoms:
1 Pm 0.084 0.259 0.000
2 Pm 0.259 0.084 0.000
3 Pm 0.741 0.916 0.000
4 Pm 0.916 0.741 0.000
5 Dy 0.094 0.467 0.500
6 Dy 0.125 0.875 0.500
7 Dy 0.293 0.293 0.500
8 Dy 0.312 0.688 0.500
9 Dy 0.467 0.094 0.500
10 Dy 0.500 0.500 0.500
11 Dy 0.533 0.906 0.500
12 Dy 0.688 0.312 0.500
13 Dy 0.707 0.707 0.500
14 Dy 0.875 0.125 0.500
15 Dy 0.906 0.533 0.500
16 Sc 0.000 0.000 0.000
17 Sc 0.114 0.676 0.000
18 Sc 0.298 0.486 0.000
19 Sc 0.324 0.886 0.000
20 Sc 0.486 0.298 0.000
21 Sc 0.514 0.702 0.000
22 Sc 0.676 0.114 0.000
23 Sc 0.702 0.514 0.000
24 Sc 0.886 0.324 0.000


Record 3
This record from Alexandria via LeMat-Bulk describes a relaxed structure of PmDy2Sc5. The functional is PBE.

## Properties
Calculated formation energy = 0.03 eV per atom
SG = Fmm2, No. 42
Energy above the lowest structure with this stoichiometry = 0.000 eV per atom
VASP energy = -5.673 eV/atom

Cell lengths 8.023, 6.871, 6.379 Å; angles 74.42, 55.59, 49.99 degrees
Fractional coordinates of all 8 atoms:
1 Pm 0.000 0.000 0.000
2 Dy 0.425 0.913 0.087
3 Dy 0.913 0.425 0.575
4 Sc 0.006 0.502 0.994
5 Sc 0.415 0.415 0.085
6 Sc 0.498 0.498 0.502
7 Sc 0.502 0.006 0.498
8 Sc 0.915 0.915 0.585


Record 4
This record from Alexandria via LeMat-Bulk describes a relaxed structure of PmDySc2. The functional is PBE.

## Properties
Calculated formation energy = 0.07 eV per atom
SG = R3m, No. 160
Energy above the lowest structure with this stoichiometry = 0.020 eV per atom
VASP energy = -5.433 eV/atom

Cell lengths 11.201, 11.201, 11.201 Å; angles 17.76, 17.76, 17.76 degrees
Fractional coordinates of all 4 atoms:
1 Pm 0.000 0.000 0.000
2 Dy 0.834 0.834 0.834
3 Sc 0.249 0.249 0.249
4 Sc 0.419 0.419 0.419


Record 5
This record from Alexandria via LeMat-Bulk describes a relaxed structure of PmDy2Sc4. The functional is PBE.

## Properties
Calculated formation energy = 0.24 eV per atom
SG = I4/mmm, No. 139
Energy above the lowest structure with this stoichiometry = 0.179 eV per atom
VASP energy = -5.374 eV/atom

Cell lengths 6.517, 6.517, 6.517 Å; angles 103.42, 103.42, 122.40 degrees
Fractional coordinates of all 7 atoms:
1 Pm 0.000 0.000 0.000
2 Dy 0.250 0.750 0.500
3 Dy 0.750 0.250 0.500
4 Sc 0.307 0.307 0.615
5 Sc 0.307 0.693 0.000
6 Sc 0.693 0.307 0.000
7 Sc 0.693 0.693 0.385


Record 6
This record from Alexandria via LeMat-Bulk describes a relaxed structure of Pm7Dy4Sc. The functional is PBE.

## Properties
Calculated formation energy = 0.03 eV per atom
SG = Pm, No. 6
Energy above the lowest structure with this stoichiometry = 0.000 eV per atom
VASP energy = -4.799 eV/atom

Cell lengths 7.295, 5.746, 9.614 Å; angles 90.00, 100.96, 90.00 degrees
Fractional coordinates of all 12 atoms:
1 Pm 0.000 0.000 0.000
2 Pm 0.056 0.500 0.228
3 Pm 0.169 0.000 0.665
4 Pm 0.496 0.000 0.003
5 Pm 0.553 0.500 0.226
6 Pm 0.658 0.000 0.666
7 Pm 0.887 0.500 0.557
8 Dy 0.223 0.500 0.888
9 Dy 0.332 0.000 0.339
10 Dy 0.716 0.500 0.889
11 Dy 0.831 0.000 0.334
12 Sc 0.387 0.500 0.558